! La2As4PtRh3, optimized geometry, DFT PBE-GGA; values from VASP
! Space group   P-4m2
! Calculated formation energy   -0.9674 eV/atom
&SYSTEM
  ibrav = 0, nat = 10, ntyp = 4
/
ATOMIC_SPECIES
La 138.91 La.upf
As 74.92 As.upf
Pt 195.08 Pt.upf
Rh 102.91 Rh.upf
CELL_PARAMETERS angstrom
-4.100 1.548 -0.218
-0.754 -2.494 -3.531
-3.105 -7.395 5.888
ATOMIC_POSITIONS angstrom
La -2.817 -1.052 1.345
La -2.716 -6.816 2.668
As -2.427 -0.473 -1.874
As 0.000 0.000 0.000
As -4.030 -3.940 3.644
As -1.503 -3.928 0.369
Pt -3.980 -4.171 1.069
Rh -1.553 -3.698 2.944
Rh -4.794 -5.760 5.093
Rh -0.739 -2.108 -1.080



! La2As4Pt3Rh, optimized geometry, DFT PBE-GGA; values from VASP
! Space group   P-4m2
! Calculated formation energy   -0.9556 eV/atom
&SYSTEM
  ibrav = 0, nat = 10, ntyp = 4
/
ATOMIC_SPECIES
La 138.91 La.upf
As 74.92 As.upf
Pt 195.08 Pt.upf
Rh 102.91 Rh.upf
CELL_PARAMETERS angstrom
4.456 0.000 0.000
0.000 4.456 0.000
0.000 0.000 9.997
ATOMIC_POSITIONS angstrom
La 2.228 0.000 2.520
La 0.000 2.228 7.476
As 2.228 2.228 0.000
As 0.000 0.000 0.000
As 2.228 0.000 6.290
As 0.000 2.228 3.707
Pt 0.000 0.000 4.998
Pt 2.228 0.000 8.788
Pt 0.000 2.228 1.208
Rh 2.228 2.228 4.998



! LaAs2PtRh, optimized geometry, DFT PBE-GGA; values from VASP
! Space group   P4/mmm
! Calculated formation energy   1.3035 eV/atom
&SYSTEM
  ibrav = 0, nat = 5, ntyp = 4
/
ATOMIC_SPECIES
As 74.92 As.upf
Rh 102.91 Rh.upf
Pt 195.08 Pt.upf
La 138.91 La.upf
CELL_PARAMETERS angstrom
5.520 0.000 0.000
0.000 5.136 0.000
0.000 0.000 5.520
ATOMIC_POSITIONS angstrom
As 0.000 0.000 2.760
As 2.760 0.000 0.000
Rh 2.760 2.568 2.760
Pt 0.000 2.568 0.000
La 0.000 0.000 0.000



! La4AsPtS2, optimized geometry, DFT PBE-GGA; values from VASP
! Uncorrected formation energy   -1717 meV per atom
! Space group   P2/m
&SYSTEM
  ibrav = 0, nat = 8, ntyp = 4
/
ATOMIC_SPECIES
La 138.91 La.upf
As 74.92 As.upf
Pt 195.08 Pt.upf
S 32.06 S.upf
CELL_PARAMETERS angstrom
4.219 0.000 0.000
0.000 7.380 -0.156
0.000 2.589 6.947
ATOMIC_POSITIONS angstrom
La 0.000 7.485 5.111
La 4.219 2.483 1.680
La 2.110 6.223 1.613
La 2.110 3.745 5.178
As 0.000 4.984 3.396
Pt 2.110 3.690 -0.078
S 0.000 2.589 6.947
S 2.110 1.294 3.473



! La6As2PtS3, optimized geometry, DFT PBE-GGA; values from VASP
! Uncorrected formation energy   -1781 meV per atom
! Space group   C2/m
&SYSTEM
  ibrav = 0, nat = 12, ntyp = 4
/
ATOMIC_SPECIES
La 138.91 La.upf
As 74.92 As.upf
Pt 195.08 Pt.upf
S 32.06 S.upf
CELL_PARAMETERS angstrom
4.249 0.000 0.000
0.000 8.548 0.329
-2.125 -2.443 8.948
ATOMIC_POSITIONS angstrom
La 0.000 6.216 6.254
La 2.125 4.194 3.174
La 2.125 -0.111 3.023
La 2.125 -0.299 9.006
La 0.000 6.404 0.272
La 0.000 1.911 6.104
As 2.125 4.062 6.200
As 0.000 2.044 3.078
Pt 2.125 0.000 0.000
S 2.125 4.274 0.165
S 2.125 -0.207 5.987
S 0.000 6.313 3.291



! LaAsPtSe2, optimized geometry, DFT PBE-GGA; values from VASP
! Uncorrected formation energy   746 meV per atom
! Space group   P4/mmm
! Energy above the lowest structure with this stoichiometry   131.4 kJ/mol of atoms
&SYSTEM
  ibrav = 0, nat = 5, ntyp = 4
/
ATOMIC_SPECIES
As 74.92 As.upf
Se 78.96 Se.upf
Pt 195.08 Pt.upf
La 138.91 La.upf
CELL_PARAMETERS angstrom
5.628 0.000 0.000
0.000 5.628 0.000
0.000 0.000 5.797
ATOMIC_POSITIONS angstrom
As 0.000 0.000 2.899
Se 0.000 2.814 0.000
Se 2.814 0.000 0.000
Pt 2.814 2.814 2.899
La 0.000 0.000 0.000



Let's list DOS(E_F) in order: 0.768; 0.545; 1.865; 0.743; 0.570; 1.932 states/eV/atom.
Let's list raw total energy in order: -6.622; -6.348; -4.220; -6.549; -6.555; -3.771 eV per atom.